No. 1
This record from Alexandria describes a relaxed structure of Mg2TiSiN4. The functional is PBE.

Values from the calculation:
For the formation energy from raw total energies, the calculation gives -1.170 eV per atom. As for the magnetization: 0.00 μB/cell. Its crystal system is orthorhombic.

Lattice parameters (Å, degrees): 6.4376 5.7266 5.0956 90.00 90.00 90.00
Last column: nearest neighbours and their distance in Å.
Space group Pmn2_1 (No. 31)
One atom of each set of equivalent atoms:
Mg  0.2486  0.1711  0.0000 [4 per cell]  4 N 2.06-2.14
Ti  0.0000  0.3453  0.5065 [2 per cell]  4 N 1.89-1.99
Si  0.0000  0.6660  0.0114 [2 per cell]  4 N 1.76-1.78
N  0.0000  0.3805  0.8801 [2 per cell]  1 Si 1.77, 1 Ti 1.91
N  0.0000  0.6478  0.3565 [2 per cell]  1 Si 1.76, 1 Ti 1.89
N  0.2336  0.8113  0.9194 [4 per cell]  1 Si 1.78, 1 Ti 1.99

---

No. 2
This record from Alexandria describes a relaxed structure of Ac3AgPd2O9. The functional is PBE.

Values from the calculation:
For the formation energy from raw total energies, the calculation gives -1.772 eV per atom. As for the magnetization: 0.00 μB/cell. Its crystal system is trigonal.

Lattice parameters (Å, degrees): 5.8078 5.8078 7.1703 90.00 90.00 120.00
Last column: nearest neighbours and their distance in Å.
Space group P-3m1 (No. 164)
One atom of each set of equivalent atoms:
Ac  0.0000  0.0000  0.0000 [1 per cell]  12 O 2.89-2.90
Ac  0.3333  0.6667  0.6738 [2 per cell]  12 O 2.88-3.00
Ag  0.0000  0.0000  0.5000 [1 per cell]  6 O 2.14
Pd  0.3333  0.6667  0.1644 [2 per cell]  6 O 1.98-2.05
O  0.0000  0.5000  0.0000 [3 per cell]  2 Pd 2.05
O  0.1715  0.3431  0.3227 [6 per cell]  1 Pd 1.98, 1 Ag 2.14

---

No. 3
This record from Alexandria describes a relaxed structure of Nd4In2HgAu. The functional is PBE.

Values from the calculation:
The value obtained for the energy of formation is -4.15 eV/f.u. As for the magnetization: 3.95 μB/cell. Its crystal system is trigonal.

Lattice parameters (Å, degrees): 5.4333 5.4333 26.6188 90.00 90.00 120.00
Last column: nearest neighbours and their distance in Å.
Space group R-3m (No. 166, hexagonal axes)
One atom of each set of equivalent atoms:
Nd  0.0000  0.0000  0.1213 [6 per cell]  1 Au 3.23, 4 In 3.27-3.34, 3 Hg 3.36
Nd  0.0000  0.0000  0.3716 [6 per cell]  3 Au 3.30, 4 In 3.32-3.39, 1 Hg 3.42
In  0.0000  0.0000  0.2469 [6 per cell]  8 Nd 3.27-3.39
Hg  0.0000  0.0000  0.5000 [3 per cell]  8 Nd 3.36-3.42
Au  0.0000  0.0000  0.0000 [3 per cell]  8 Nd 3.23-3.30

---

No. 4
This record from Alexandria describes a relaxed structure of MgH3Ir3. The functional is PBE.

Values from the calculation:
As for the magnetization: 0.00 μB/cell. Its crystal system is monoclinic. The value obtained for the energy above the most stable polymorph in this dataset is 11 meV per atom.

Lattice parameters (Å, degrees): 5.7519 5.7959 4.1982 90.00 93.55 90.00
Last column: nearest neighbours and their distance in Å.
Space group Cm (No. 8)
One atom of each set of equivalent atoms:
Mg  0.0000  0.0000  0.0000 [2 per cell]  3 H 2.05-2.09
H  0.0397  0.2803  0.7090 [4 per cell]  3 Ir 1.79-1.85, 1 H 2.00
H  0.2709  0.0000  0.6888 [2 per cell]  3 Ir 1.83-1.84, 2 H 2.00
Ir  0.0081  0.5000  0.0042 [2 per cell]  3 H 1.79-1.84
Ir  0.2731  0.2608  0.4447 [4 per cell]  3 H 1.80-1.85

---

No. 5
This record from Alexandria describes a relaxed structure of Li2RhBr. The functional is PBE.

Values from the calculation:
For the formation energy from raw total energies, the calculation gives -0.080 eV per atom. As for the magnetization: 1.17 μB/cell. Its crystal system is cubic. The value obtained for the energy above the most stable polymorph in this dataset is 310 meV per atom.

Lattice parameters (Å, degrees): 6.2762 6.2762 6.2762 90.00 90.00 90.00
Last column: nearest neighbours and their distance in Å.
Space group Fm-3m (No. 225)
One atom of each set of equivalent atoms:
Li  0.2500  0.2500  0.2500 [8 per cell]  4 Br 2.72, 4 Rh 2.72
Rh  0.0000  0.0000  0.0000 [4 per cell]  8 Li 2.72
Br  0.0000  0.0000  0.5000 [4 per cell]  8 Li 2.72

---

No. 6
This record from Alexandria describes a relaxed structure of MnAl2Pt. The functional is PBE.

Values from the calculation:
The value obtained for the energy of formation is -2.17 eV/f.u. As for the magnetization: 4.73 μB/cell. Its crystal system is monoclinic.

Lattice parameters (Å, degrees): 9.2396 2.9126 4.3977 90.00 106.92 90.00
Last column: nearest neighbours and their distance in Å.
Space group Cm (No. 8)
One atom of each set of equivalent atoms:
Mn  0.0000  0.0000  0.0000 [2 per cell]  7 Al 2.59-2.67, 2 Pt 2.83
Al  0.0006  0.5000  0.5103 [2 per cell]  4 Mn 2.60-2.67, 3 Pt 2.60-2.65, 4 Al 2.83-2.91
Al  0.2581  0.0000  0.8562 [2 per cell]  3 Mn 2.59-2.64, 4 Pt 2.64, 2 Al 2.83
Pt  0.2566  0.5000  0.3548 [2 per cell]  7 Al 2.60-2.65, 2 Mn 2.83, 2 Pt 2.91

---

No. 7
This record from Alexandria describes a relaxed structure of CaNdY2Hg4. The functional is PBE.

Values from the calculation:
The value obtained for the energy of formation is -4.09 eV/f.u. As for the magnetization: 0.00 μB/cell. Its crystal system is trigonal.

Lattice parameters (Å, degrees): 5.3181 5.3181 26.1804 90.00 90.00 120.00
Last column: nearest neighbours and their distance in Å.
Space group R-3m (No. 166, hexagonal axes)
One atom of each set of equivalent atoms:
Ca  0.0000  0.0000  0.0000 [3 per cell]  8 Hg 3.26
Nd  0.0000  0.0000  0.5000 [3 per cell]  8 Hg 3.26-3.27
Y  0.0000  0.0000  0.2525 [6 per cell]  8 Hg 3.21-3.35
Hg  0.0000  0.0000  0.1244 [6 per cell]  1 Ca 3.26, 3 Nd 3.26, 4 Y 3.28-3.35
Hg  0.0000  0.0000  0.3752 [6 per cell]  4 Y 3.21-3.24, 3 Ca 3.26, 1 Nd 3.27

---

No. 8
This record from Alexandria describes a relaxed structure of Zn2SbPt. The functional is PBE.

Values from the calculation:
For the formation energy from raw total energies, the calculation gives -0.055 eV per atom. As for the magnetization: 0.00 μB/cell. Its crystal system is tetragonal.

Lattice parameters (Å, degrees): 4.1169 4.1169 8.3301 90.00 90.00 90.00
Last column: nearest neighbours and their distance in Å.
Space group I-4m2 (No. 119)
One atom of each set of equivalent atoms:
Zn  0.0000  0.0000  0.0000 [2 per cell]  4 Sb 2.91, 4 Pt 2.93, 4 Zn 2.93
Zn  0.0000  0.5000  0.2500 [2 per cell]  4 Pt 2.91, 4 Sb 2.93, 4 Zn 2.93
Sb  0.0000  0.0000  0.5000 [2 per cell]  8 Zn 2.91-2.93, 4 Pt 2.93
Pt  0.0000  0.5000  0.7500 [2 per cell]  8 Zn 2.91-2.93, 4 Sb 2.93

---

No. 9
This record from Alexandria describes a relaxed structure of Sm2MgAl2. The functional is PBE.

Values from the calculation:
The value obtained for the energy of formation is -1.67 eV/f.u. As for the magnetization: 0.00 μB/cell. Its crystal system is orthorhombic.

Lattice parameters (Å, degrees): 4.4983 15.1720 3.7020 90.00 90.00 90.00
Last column: nearest neighbours and their distance in Å.
Space group Cmmm (No. 65)
One atom of each set of equivalent atoms:
Sm  0.0000  0.1246  0.0000 [4 per cell]  6 Al 3.15-3.21, 4 Mg 3.47
Mg  0.0000  0.5000  0.5000 [2 per cell]  2 Al 3.08
Al  0.0000  0.2970  0.5000 [4 per cell]  2 Al 2.66

---

No. 10
This record from Alexandria describes a relaxed structure of SrPtSe2. The functional is PBE.

Values from the calculation:
For the formation energy from raw total energies, the calculation gives -0.552 eV per atom. As for the magnetization: 0.00 μB/cell. Its crystal system is tetragonal. The value obtained for the energy above the most stable polymorph in this dataset is 460 meV per atom.

Lattice parameters (Å, degrees): 5.8058 5.8058 5.8861 90.00 90.00 90.00
Last column: nearest neighbours and their distance in Å.
Space group I4/mmm (No. 139)
One atom of each set of equivalent atoms:
Sr  0.0000  0.0000  0.0000 [2 per cell]  4 Se 2.90, 2 Pt 2.94
Pt  0.0000  0.0000  0.5000 [2 per cell]  4 Se 2.90, 2 Sr 2.94
Se  0.0000  0.5000  0.0000 [4 per cell]  2 Sr 2.90, 2 Pt 2.90, 2 Se 2.94